No. 1
! ErCoAs2 GGA-PBE relaxed; values from VASP
! volume: 215 Å³ per cell
! uncorrected energy: -71.2 eV/cell
&SYSTEM
  ibrav = 0, nat = 12, ntyp = 3
/
ATOMIC_SPECIES
Er 167.26 Er.upf
Co 58.93 Co.upf
As 74.92 As.upf
CELL_PARAMETERS angstrom
3.851 0.000 0.000
-1.926 3.335 0.000
0.000 0.000 16.733
ATOMIC_POSITIONS angstrom
Er 0.000 0.000 0.000
Er 0.000 2.224 11.155
Er 1.926 1.112 5.578
Co 0.000 0.000 8.367
Co 0.000 2.224 2.789
Co 1.926 1.112 13.944
As 0.000 0.000 3.818
As 0.000 0.000 12.916
As 0.000 2.224 7.338
As 0.000 2.224 14.973
As 1.926 1.112 1.760
As 1.926 1.112 9.395

No. 2
! Er2Co3NiAs4 GGA-PBE relaxed; values from VASP
! volume: 157 Å³ per cell
! uncorrected energy: -62.0 eV/cell
&SYSTEM
  ibrav = 0, nat = 10, ntyp = 4
/
ATOMIC_SPECIES
Er 167.26 Er.upf
Co 58.93 Co.upf
Ni 58.69 Ni.upf
As 74.92 As.upf
CELL_PARAMETERS angstrom
4.079 0.000 0.000
0.000 4.079 0.000
0.000 0.000 9.432
ATOMIC_POSITIONS angstrom
Er 0.000 2.039 2.352
Er 2.039 0.000 7.080
Co 0.000 2.039 8.320
Co 2.039 0.000 1.112
Co 2.039 2.039 4.716
Ni 0.000 0.000 4.716
As 0.000 0.000 0.000
As 0.000 2.039 6.019
As 2.039 0.000 3.413
As 2.039 2.039 0.000

No. 3
! Er2CoNi3As4 GGA-PBE relaxed; values from VASP
! volume: 160 Å³ per cell
! uncorrected energy: -59.6 eV/cell
&SYSTEM
  ibrav = 0, nat = 10, ntyp = 4
/
ATOMIC_SPECIES
Er 167.26 Er.upf
Co 58.93 Co.upf
Ni 58.69 Ni.upf
As 74.92 As.upf
CELL_PARAMETERS angstrom
4.088 0.000 0.000
0.000 4.088 0.000
0.000 0.000 9.564
ATOMIC_POSITIONS angstrom
Er 0.000 2.044 2.351
Er 2.044 0.000 7.212
Co 2.044 2.044 0.000
Ni 0.000 0.000 0.000
Ni 0.000 2.044 5.987
Ni 2.044 0.000 3.576
As 0.000 0.000 4.782
As 0.000 2.044 8.301
As 2.044 0.000 1.262
As 2.044 2.044 4.782